# 1
This record from Alexandria describes CaLaAg4 at its PBEsol-relaxed geometry. The functional is SCAN.

The structure belongs to space group F-43m (No. 216); the cell edges are 8.0372, 8.0372 and 8.0372 Å and the angles 90.00°, 90.00° and 90.00°. Symmetry generates all atoms from Ca at (0.0000, 0.0000, 0.0000), La at (0.2500, 0.2500, 0.2500) and Ag at (0.1259, 0.1259, 0.6259).

The value obtained for the spin magnetization is 0.0 μB/f.u. The density of states at the Fermi level is 11.6 states/eV/cell. Its formation energy is -0.242 eV per atom.

# 2
This record from Alexandria describes FeRhNCl2 at its PBEsol-relaxed geometry. The functional is SCAN.

The structure belongs to space group P4/mmm (No. 123); the cell edges are 4.6129, 4.6129 and 4.7796 Å and the angles 90.00°, 90.00° and 90.00°. Symmetry generates all atoms from Fe at (0.0000, 0.0000, 0.0000), Rh at (0.0000, 0.0000, 0.5000), N at (0.5000, 0.5000, 0.0000) and Cl at (0.0000, 0.5000, 0.5000).

The value obtained for the spin magnetization is 6.9 μB/f.u. The density of states at the Fermi level is 2.2 states/eV/cell. The total energy comes out at -1.0562 Ry/atom.

# 3
This record from Alexandria describes BeIr2Ru at its PBEsol-relaxed geometry. The functional is SCAN.

The structure belongs to space group P4/mmm (No. 123); the cell edges are 2.7246, 2.7246 and 6.5702 Å and the angles 90.00°, 90.00° and 90.00°. Symmetry generates all atoms from Be at (0.0000, 0.0000, 0.0000), Ir at (0.5000, 0.5000, 0.2171) and Ru at (0.0000, 0.0000, 0.5000).

The value obtained for the spin magnetization is 0.0 μB/f.u. The density of states at the Fermi level is 1.6 states/eV/cell. Its formation energy is -0.390 eV per atom.

# 4
This record from Alexandria describes Sr3Al2Ge2 at its PBEsol-relaxed geometry. The functional is SCAN.

The structure belongs to space group Immm (No. 71); the cell edges are 4.2039, 4.7797 and 19.1447 Å and the angles 90.00°, 90.00° and 90.00°. Symmetry generates all atoms from Sr at (0.0000, 0.0000, 0.0000), Sr at (0.0000, 0.5000, 0.3150), Al at (0.0000, 0.0000, 0.4334) and Ge at (0.0000, 0.5000, 0.1411).

The value obtained for the spin magnetization is 0.0 μB/f.u. The density of states at the Fermi level is 3.7 states/eV/cell. Its formation energy is -0.568 eV per atom.

# 5
This record from Alexandria describes YMoP2O at its PBEsol-relaxed geometry. The functional is SCAN.

The structure belongs to space group P4/mmm (No. 123); the cell edges are 4.8003, 4.8003 and 3.7477 Å and the angles 90.00°, 90.00° and 90.00°. Symmetry generates all atoms from Y at (0.0000, 0.0000, 0.0000), Mo at (0.5000, 0.5000, 0.5000), P at (0.0000, 0.5000, 0.5000) and O at (0.5000, 0.5000, 0.0000).

The value obtained for the spin magnetization is 0.0 μB/f.u. The density of states at the Fermi level is 2.2 states/eV/cell. The total energy comes out at -1.3962 Ry/atom.

# 6
This record from Alexandria describes LaWIO2 at its PBEsol-relaxed geometry. The functional is SCAN.

The structure belongs to space group P4/mmm (No. 123); the cell edges are 4.0918, 4.0918 and 5.6277 Å and the angles 90.00°, 90.00° and 90.00°. Symmetry generates all atoms from La at (0.0000, 0.0000, 0.0000), W at (0.5000, 0.5000, 0.5000), I at (0.5000, 0.5000, 0.0000) and O at (0.0000, 0.5000, 0.5000).

The value obtained for the spin magnetization is 0.0 μB/f.u. The density of states at the Fermi level is 3.2 states/eV/cell. The total energy comes out at -2.4497 Ry/atom.